[1]
The following is a GGA-PBE calculation of a relaxed structure of Tb3Ga2Hg6, from the Alexandria database.

For the formation enthalpy at 0 K, the calculation gives -259 kJ/mol of formula units.

It has space group I4/mmm (No. 139), with a = 4.227 Å, b = 4.227 Å, c = 31.044 Å, α = 90.00°, β = 90.00° and γ = 90.00°. The inequivalent atoms are Tb at (0.000, 0.000, 0.000), Tb at (0.000, 0.000, 0.169), Ga at (0.000, 0.000, 0.359), Hg at (0.000, 0.000, 0.270) and Hg at (0.000, 0.500, 0.075).



[2]
The following is a GGA-PBE calculation of a relaxed structure of Tb3Ga2Hg3, from the Alexandria database.

For the formation enthalpy at 0 K, the calculation gives -374 kJ/mol of formula units.

It has space group Cmcm (No. 63), with a = 4.472 Å, b = 11.062 Å, c = 15.439 Å, α = 90.00°, β = 90.00° and γ = 90.00°. The inequivalent atoms are Tb at (0.000, 0.079, 0.110), Tb at (0.000, 0.354, 0.250), Ga at (0.000, 0.206, 0.616), Hg at (0.000, 0.372, 0.750) and Hg at (0.000, 0.373, 0.034).



[3]
The following is a GGA-PBE calculation of a relaxed structure of TbGaHg, from the Alexandria database.

For the formation enthalpy at 0 K, the calculation gives -97 kJ/mol of formula units.

It has space group I4mm (No. 107), with a = 3.507 Å, b = 3.507 Å, c = 11.286 Å, α = 90.00°, β = 90.00° and γ = 90.00°. The inequivalent atoms are Tb at (0.000, 0.000, 0.000), Ga at (0.000, 0.000, 0.667) and Hg at (0.000, 0.000, 0.318).



[4]
The following is a GGA-PBE calculation of a relaxed structure of Tb4Ga3Hg, from the Alexandria database.

For the energy above the most stable polymorph in this dataset, the calculation gives 0.000 eV/atom. For the formation enthalpy at 0 K, the calculation gives -429 kJ/mol of formula units.

It has space group Pmm2 (No. 25), with a = 4.226 Å, b = 4.279 Å, c = 11.122 Å, α = 90.00°, β = 90.00° and γ = 90.00°. The inequivalent atoms are Tb at (0.000, 0.000, 0.000), Tb at (0.000, 0.500, 0.489), Tb at (0.500, 0.000, 0.710), Tb at (0.500, 0.500, 0.216), Ga at (0.000, 0.000, 0.281), Ga at (0.500, 0.000, 0.428), Ga at (0.500, 0.500, 0.943) and Hg at (0.000, 0.500, 0.773).



[5]
The following is a GGA-PBE calculation of a relaxed structure of Tb3GaHg3, from the Alexandria database.

For the formation enthalpy at 0 K, the calculation gives -304 kJ/mol of formula units.

It has space group Imm2 (No. 44), with a = 3.684 Å, b = 4.759 Å, c = 20.070 Å, α = 90.00°, β = 90.00° and γ = 90.00°. The inequivalent atoms are Tb at (0.000, 0.000, 0.000), Tb at (0.000, 0.000, 0.386), Tb at (0.000, 0.500, 0.198), Ga at (0.000, 0.500, 0.762), Hg at (0.000, 0.000, 0.543), Hg at (0.000, 0.000, 0.841) and Hg at (0.000, 0.500, 0.630).



[6]
The following is a GGA-PBE calculation of a relaxed structure of Tb3Ga3Hg, from the Alexandria database.

For the formation enthalpy at 0 K, the calculation gives -392 kJ/mol of formula units.

It has space group C2/m (No. 12), with a = 10.976 Å, b = 4.465 Å, c = 14.302 Å, α = 90.00°, β = 109.65° and γ = 90.00°. The inequivalent atoms are Tb at (0.028, 0.000, 0.375), Tb at (0.106, 0.000, 0.925), Tb at (0.235, 0.000, 0.218), Ga at (0.019, 0.500, 0.223), Ga at (0.110, 0.500, 0.074), Ga at (0.121, 0.500, 0.547) and Hg at (0.240, 0.500, 0.391).



[7]
The following is a GGA-PBE calculation of a relaxed structure of TbGaHg2, from the Alexandria database.

For the formation enthalpy at 0 K, the calculation gives -141 kJ/mol of formula units.

It has space group P2_1/m (No. 11), with a = 6.163 Å, b = 4.690 Å, c = 6.338 Å, α = 90.00°, β = 90.05° and γ = 90.00°. The inequivalent atoms are Tb at (0.107, 0.250, 0.250), Ga at (0.228, 0.250, 0.750), Hg at (0.341, 0.750, 0.009) and Hg at (0.341, 0.750, 0.492).



[8]
The following is a GGA-PBE calculation of a relaxed structure of Tb8GaHg2, from the Alexandria database.

For the energy above the most stable polymorph in this dataset, the calculation gives 0.000 eV/atom. For the formation enthalpy at 0 K, the calculation gives -276 kJ/mol of formula units.

It has space group C2/m (No. 12), with a = 18.148 Å, b = 5.201 Å, c = 6.960 Å, α = 90.00°, β = 106.63° and γ = 90.00°. The inequivalent atoms are Tb at (0.021, 0.000, 0.273), Tb at (0.090, 0.500, 0.955), Tb at (0.163, 0.500, 0.474), Tb at (0.199, 0.000, 0.814), Ga at (0.000, 0.500, 0.500) and Hg at (0.182, 0.000, 0.225).



[9]
The following is a GGA-PBE calculation of a relaxed structure of Tb5GaHg3, from the Alexandria database.

For the formation enthalpy at 0 K, the calculation gives -376 kJ/mol of formula units.

It has space group P6_3/mcm (No. 193), with a = 9.1153 Å, b = 9.1153 Å, c = 6.6469 Å, α = 90.00°, β = 90.00° and γ = 120.00°. The inequivalent atoms are Tb at (0.0000, 0.2734, 0.2500), Tb at (0.3333, 0.6667, 0.0000), Ga at (0.0000, 0.0000, 0.0000) and Hg at (0.0000, 0.3865, 0.7500).



[10]
The following is a GGA-PBE calculation of a relaxed structure of Tb2GaHg, from the Alexandria database.

For the formation enthalpy at 0 K, the calculation gives -153 kJ/mol of formula units.

It has space group R-3m (No. 166, hexagonal axes), with a = 3.7056 Å, b = 3.7056 Å, c = 27.0112 Å, α = 90.00°, β = 90.00° and γ = 120.00°. The inequivalent atoms are Tb at (0.0000, 0.0000, 0.2456), Ga at (0.0000, 0.0000, 0.5000) and Hg at (0.0000, 0.0000, 0.0000).



How do the records compare in calculated volume? In the order shown, they have 25.2, 23.9, 23.1, 25.1, 25.1, 23.6, 22.9, 28.6, 26.6, 26.8 Å³/atom.
How do the records compare in DOS(E_F)? In the order shown, they have 18.3, 14.9, 4.8, 7.4, 11.1, 19.9, 4.2, 19.2, 19.0, 9.1 states/eV/cell.